Below is AgBAs2 after structural relaxation, with properties calculated at the PBE level.

**Final energy**: -3.6187 eV/atom

abc: 6.4241 6.4241 6.4241
angles: 90.00 90.00 90.00
With the nearest neighbours (Å) after each atom.
Space group F-43m (No. 216)
Inequivalent atoms, fractional coordinates:
Ag1 0.0000 0.0000 0.0000 (multiplicity 4)  4 As 2.78, 4 B 2.78
B1 0.2500 0.2500 0.7500 (multiplicity 4)  4 As 2.78, 4 Ag 2.78
As1 0.0000 0.0000 0.5000 (multiplicity 4)  4 B 2.78, 4 As 2.78
As2 0.2500 0.2500 0.2500 (multiplicity 4)  4 As 2.78, 4 Ag 2.78